P | Entry from Alexandria: a relaxed Tb2TeN crystal (GGA-PBE).

abc: 3.7654 3.7654 13.9289
angles: 90.00 90.00 120.00
Atoms (fractional coordinates):
Tb: 0.3333 0.6667 0.0922
Tb: 0.3333 0.6667 0.4078
Tb: 0.6667 0.3333 0.5922
Tb: 0.6667 0.3333 0.9078
Te: 0.3333 0.6667 0.7500
Te: 0.6667 0.3333 0.2500
N: 0.0000 0.0000 0.0000
N: 0.0000 0.0000 0.5000

- magnetic moment (μB per formula unit) = 0.00

***

Q | Entry from Alexandria: a relaxed Tb2TeN crystal (GGA-PBE).

abc: 7.3374 7.3374 7.3374
angles: 29.67 29.67 29.67
Atoms (fractional coordinates):
Tb: 0.0000 0.0000 0.0000
Tb: 0.2103 0.2103 0.2103
Te: 0.4392 0.4392 0.4392
N: 0.6091 0.6091 0.6091

- magnetic moment (μB per formula unit) = 0.00

***

Order of stability, best first: P, Q

***

P | Entry from Alexandria: a relaxed Tb2TeN crystal (GGA-PBE).

abc: 8.0949 6.9487 6.7387
angles: 90.00 91.83 90.00
Atoms (fractional coordinates):
Tb: 0.0844 0.1660 0.3600
Tb: 0.0844 0.3340 0.8600
Tb: 0.2861 0.6772 0.5464
Tb: 0.2861 0.8228 0.0464
Tb: 0.7139 0.1772 0.9536
Tb: 0.7139 0.3228 0.4536
Tb: 0.9156 0.6660 0.1400
Tb: 0.9156 0.8340 0.6400
Te: 0.3737 0.1027 0.7029
Te: 0.3737 0.3973 0.2029
Te: 0.6263 0.6027 0.7971
Te: 0.6263 0.8973 0.2971
N: 0.1074 0.6670 0.8430
N: 0.1074 0.8330 0.3430
N: 0.8926 0.1670 0.6570
N: 0.8926 0.3330 0.1570

- magnetic moment (μB per formula unit) = 0.00

***

Q | Entry from Alexandria: a relaxed Tb2TeN crystal (GGA-PBE).

abc: 7.2831 7.2831 7.2831
angles: 30.00 30.00 30.00
Atoms (fractional coordinates):
Tb: 0.2281 0.2281 0.2281
Tb: 0.7719 0.7719 0.7719
Te: 0.0000 0.0000 0.0000
N: 0.5000 0.5000 0.5000

- magnetic moment (μB per formula unit) = 0.00

***

Order of stability, best first: Q, P

***

P | Entry from Alexandria: a relaxed Tb3ThN4 crystal (GGA-PBE).

abc: 5.0139 5.0139 5.0139
angles: 90.00 90.00 90.00
Atoms (fractional coordinates):
Tb: 0.0000 0.0000 0.5000
Tb: 0.0000 0.5000 0.0000
Tb: 0.5000 0.0000 0.0000
Th: 0.5000 0.5000 0.5000
N: 0.0000 0.0000 0.0000
N: 0.0000 0.5000 0.5000
N: 0.5000 0.0000 0.5000
N: 0.5000 0.5000 0.0000

- magnetic moment (μB per formula unit) = 0.00

***

Q | Entry from Alexandria: a relaxed Tb3ThN4 crystal (GGA-PBE).

abc: 6.1294 6.1294 3.5517
angles: 90.00 90.00 109.34
Atoms (fractional coordinates):
Tb: 0.0000 0.0000 0.0000
Tb: 0.0000 0.5000 0.5000
Tb: 0.5000 0.0000 0.5000
Th: 0.5000 0.5000 0.0000
N: 0.2494 0.2494 0.5000
N: 0.2510 0.7490 0.0000
N: 0.7490 0.2510 0.0000
N: 0.7506 0.7506 0.5000

- magnetic moment (μB per formula unit) = 0.00

***

Order of stability, best first: Q, P

***

P | Entry from Alexandria: a relaxed Tb4Tl2N crystal (GGA-PBE).

abc: 8.6260 8.6260 8.6260
angles: 147.84 147.84 46.12
Atoms (fractional coordinates):
Tb: 0.0000 0.5000 0.5000
Tb: 0.1635 0.1635 0.0000
Tb: 0.5000 0.0000 0.5000
Tb: 0.8365 0.8365 0.0000
Tl: 0.3618 0.3618 0.0000
Tl: 0.6382 0.6382 0.0000
N: 0.0000 0.0000 0.0000

- magnetic moment (μB per formula unit) = 0.00

***

Q | Entry from Alexandria: a relaxed Tb4Tl2N crystal (GGA-PBE).

abc: 6.5260 6.9313 9.0241
angles: 90.00 109.32 90.00
Atoms (fractional coordinates):
Tb: 0.0288 0.0043 0.2772
Tb: 0.0288 0.4957 0.2772
Tb: 0.3590 0.7500 0.0487
Tb: 0.4199 0.7500 0.6512
Tb: 0.5801 0.2500 0.3488
Tb: 0.6410 0.2500 0.9513
Tb: 0.9712 0.5043 0.7228
Tb: 0.9712 0.9957 0.7228
Tl: 0.1981 0.2500 0.0255
Tl: 0.3124 0.2500 0.5905
Tl: 0.6876 0.7500 0.4095
Tl: 0.8019 0.7500 0.9745
N: 0.1993 0.7500 0.7927
N: 0.8007 0.2500 0.2073

- magnetic moment (μB per formula unit) = 0.00

***

Order of stability, best first: P, Q

***

P | Entry from Alexandria: a relaxed TbTmN crystal (GGA-PBE).

abc: 3.4711 3.4711 5.9498
angles: 90.00 90.00 120.00
Atoms (fractional coordinates):
Tb: 0.0000 0.0000 0.0000
Tm: 0.3333 0.6667 0.4484
N: 0.6667 0.3333 0.2376

- magnetic moment (μB per formula unit) = 0.67

***

Q | Entry from Alexandria: a relaxed TbTmN crystal (GGA-PBE).

abc: 4.2205 4.2205 4.2205
angles: 60.00 60.00 60.00
Atoms (fractional coordinates):
Tb: 0.0000 0.0000 0.0000
Tm: 0.5000 0.5000 0.5000
N: 0.7500 0.7500 0.7500

- magnetic moment (μB per formula unit) = 0.00

***

Order of stability, best first: P, Q

***

P | Entry from Alexandria: a relaxed TbWN2 crystal (GGA-PBE).

abc: 5.7453 3.2238 10.5870
angles: 90.00 90.00 90.00
Atoms (fractional coordinates):
Tb: 0.0792 0.2500 0.1451
Tb: 0.4208 0.7500 0.6451
Tb: 0.5792 0.2500 0.3549
Tb: 0.9208 0.7500 0.8549
W: 0.0660 0.7500 0.4049
W: 0.4340 0.2500 0.9049
W: 0.5660 0.7500 0.0951
W: 0.9340 0.2500 0.5951
N: 0.1655 0.2500 0.7502
N: 0.2412 0.7500 0.9921
N: 0.2588 0.2500 0.4921
N: 0.3345 0.7500 0.2502
N: 0.6655 0.2500 0.7498
N: 0.7412 0.7500 0.5079
N: 0.7588 0.2500 0.0079
N: 0.8345 0.7500 0.2498

- magnetic moment (μB per formula unit) = 0.00

***

Q | Entry from Alexandria: a relaxed TbWN2 crystal (GGA-PBE).

abc: 2.7901 2.7901 5.8048
angles: 90.00 90.00 90.00
Atoms (fractional coordinates):
Tb: 0.0000 0.0000 0.0000
W: 0.0000 0.0000 0.5000
N: 0.5000 0.5000 0.2862
N: 0.5000 0.5000 0.7138

- magnetic moment (μB per formula unit) = 0.00

***

R | Entry from Alexandria: a relaxed TbWN2 crystal (GGA-PBE).

abc: 6.8682 6.8682 6.8682
angles: 26.91 26.91 26.91
Atoms (fractional coordinates):
Tb: 0.0000 0.0000 0.0000
W: 0.5000 0.5000 0.5000
N: 0.1149 0.1149 0.1149
N: 0.8851 0.8851 0.8851

- magnetic moment (μB per formula unit) = 0.00

***

Order of stability, best first: P, R, Q